Compound: PuIrO
Source: the Alexandria database
Functional: PBE
Structure: relaxed

a = 3.426 Å, b = 3.426 Å, c = 8.068 Å
α = 90.00°, β = 90.00°, γ = 90.00°
Positions (direct):
Pu 0.250 0.250 0.181
Pu 0.750 0.750 0.819
Ir 0.250 0.250 0.551
Ir 0.750 0.750 0.449
O 0.250 0.250 0.891
O 0.750 0.750 0.109

Properties
total DFT energy (no corrections) = -65.1 eV for the cell shown
energy relative to the elements, uncorrected = -1466 meV per atom
D(E_F) = 13.9 states/eV/cell


Compound: Pu6Ir3O
Source: the Alexandria database
Functional: PBE
Structure: relaxed

a = 5.198 Å, b = 10.694 Å, c = 7.276 Å
α = 90.00°, β = 107.36°, γ = 90.00°
Positions (direct):
Pu 0.001 0.163 0.499
Pu 0.001 0.337 0.999
Pu 0.279 0.660 0.679
Pu 0.279 0.840 0.179
Pu 0.280 0.159 0.179
Pu 0.280 0.341 0.679
Pu 0.720 0.659 0.321
Pu 0.720 0.841 0.821
Pu 0.721 0.160 0.821
Pu 0.721 0.340 0.321
Pu 0.999 0.663 0.001
Pu 0.999 0.837 0.501
Ir 0.266 0.000 0.799
Ir 0.266 0.500 0.299
Ir 0.500 0.000 0.500
Ir 0.500 0.500 0.000
Ir 0.734 0.000 0.201
Ir 0.734 0.500 0.701
O 0.000 0.000 0.000
O 0.000 0.500 0.500

Properties
total DFT energy (no corrections) = -244.0 eV for the cell shown
energy relative to the elements, uncorrected = -446 meV per atom
D(E_F) = 66.2 states/eV/cell


Compound: PuIrO3
Source: the Alexandria database
Functional: PBE
Structure: relaxed

a = 4.198 Å, b = 4.198 Å, c = 4.198 Å
α = 90.00°, β = 90.00°, γ = 90.00°
Positions (direct):
Pu 0.000 0.000 0.000
Ir 0.500 0.500 0.500
O 0.000 0.000 0.500
O 0.000 0.500 0.000
O 0.500 0.000 0.000

Properties
total DFT energy (no corrections) = -42.7 eV for the cell shown
energy relative to the elements, uncorrected = -923 meV per atom
D(E_F) = 3.5 states/eV/cell


Compound: Rb2PuIr3O12
Source: the Alexandria database
Functional: PBE
Structure: relaxed

a = 7.476 Å, b = 7.476 Å, c = 7.476 Å
α = 57.94°, β = 57.94°, γ = 57.94°
Positions (direct):
Rb 0.116 0.116 0.116
Rb 0.884 0.884 0.884
Pu 0.500 0.500 0.500
Ir 0.000 0.500 0.500
Ir 0.500 0.000 0.500
Ir 0.500 0.500 0.000
O 0.171 0.571 0.571
O 0.185 0.185 0.578
O 0.185 0.578 0.185
O 0.422 0.815 0.815
O 0.429 0.429 0.829
O 0.429 0.829 0.429
O 0.571 0.171 0.571
O 0.571 0.571 0.171
O 0.578 0.185 0.185
O 0.815 0.422 0.815
O 0.815 0.815 0.422
O 0.829 0.429 0.429

Properties
total DFT energy (no corrections) = -126.4 eV for the cell shown
energy relative to the elements, uncorrected = -1337 meV per atom
D(E_F) = 13.5 states/eV/cell


Compound: Rb2PuIrO6
Source: the Alexandria database
Functional: PBE
Structure: relaxed

a = 6.776 Å, b = 6.776 Å, c = 6.776 Å
α = 129.81°, β = 129.81°, γ = 73.72°
Positions (direct):
Rb 0.250 0.750 0.500
Rb 0.750 0.250 0.500
Pu 0.000 0.000 0.000
Ir 0.500 0.500 0.000
O 0.172 0.172 0.000
O 0.266 0.266 0.532
O 0.266 0.734 0.000
O 0.734 0.266 0.000
O 0.734 0.734 0.468
O 0.828 0.828 0.000

Properties
total DFT energy (no corrections) = -72.6 eV for the cell shown
energy relative to the elements, uncorrected = -1777 meV per atom
D(E_F) = 4.0 states/eV/cell


Compound: RbPu2IrO8
Source: the Alexandria database
Functional: PBE
Structure: relaxed

a = 5.647 Å, b = 5.647 Å, c = 7.296 Å
α = 90.00°, β = 90.00°, γ = 120.00°
Positions (direct):
Rb 0.000 0.000 0.000
Pu 0.333 0.667 0.595
Pu 0.667 0.333 0.405
Ir 0.000 0.000 0.500
O 0.074 0.722 0.374
O 0.278 0.352 0.374
O 0.333 0.667 0.850
O 0.352 0.074 0.626
O 0.648 0.926 0.374
O 0.667 0.333 0.150
O 0.722 0.648 0.626
O 0.926 0.278 0.626

Properties
total DFT energy (no corrections) = -100.7 eV for the cell shown
energy relative to the elements, uncorrected = -1880 meV per atom
D(E_F) = 7.3 states/eV/cell


Compound: Rb2Pu3IrO12
Source: the Alexandria database
Functional: PBE
Structure: relaxed

a = 7.524 Å, b = 7.524 Å, c = 7.524 Å
α = 62.61°, β = 62.61°, γ = 62.61°
Positions (direct):
Rb 0.131 0.131 0.131
Rb 0.869 0.869 0.869
Pu 0.000 0.500 0.500
Pu 0.500 0.000 0.500
Pu 0.500 0.500 0.000
Ir 0.500 0.500 0.500
O 0.179 0.179 0.560
O 0.179 0.560 0.179
O 0.196 0.561 0.561
O 0.439 0.439 0.804
O 0.439 0.804 0.439
O 0.440 0.821 0.821
O 0.560 0.179 0.179
O 0.561 0.196 0.561
O 0.561 0.561 0.196
O 0.804 0.439 0.439
O 0.821 0.440 0.821
O 0.821 0.821 0.440

Properties
total DFT energy (no corrections) = -152.1 eV for the cell shown
energy relative to the elements, uncorrected = -2154 meV per atom
D(E_F) = 9.9 states/eV/cell


Compound: RbPuIrO6
Source: the Alexandria database
Functional: PBE
Structure: relaxed

a = 7.503 Å, b = 7.503 Å, c = 7.503 Å
α = 122.11°, β = 117.35°, γ = 90.52°
Positions (direct):
Rb 0.363 0.113 0.250
Rb 0.637 0.887 0.750
Pu 0.000 0.500 0.500
Pu 0.500 0.500 0.000
Ir 0.000 0.000 0.500
Ir 0.000 0.500 0.000
O 0.056 0.424 0.233
O 0.056 0.823 0.631
O 0.061 0.811 0.250
O 0.308 0.177 0.733
O 0.308 0.576 0.131
O 0.326 0.576 0.750
O 0.674 0.424 0.250
O 0.692 0.424 0.869
O 0.692 0.823 0.267
O 0.939 0.189 0.750
O 0.944 0.177 0.369
O 0.944 0.576 0.767

Properties
total DFT energy (no corrections) = -139.3 eV for the cell shown
energy relative to the elements, uncorrected = -1751 meV per atom
D(E_F) = 9.9 states/eV/cell